Entry 1:
Compound: TiAl3Se
Source: the Alexandria database
Functional: PBE
Structure: optimized geometry

Geometry as POSCAR:
```
TiAl3Se
1.0
4.829 0.000 0.000
0.000 4.829 0.000
0.000 0.000 4.829
Al Se Ti
3 1 1
Direct
0.000 0.500 0.000
0.000 0.000 0.500
0.500 0.000 0.000
0.000 0.000 0.000
0.500 0.500 0.500
```

calculated total energy: -3.72 eV/atom
energy relative to the elements, uncorrected: 77.11 kJ/mol of atoms
size of the total moment: 0.000 μB per cell


Entry 2:
Compound: MgBe2Te
Source: the Alexandria database
Functional: PBE
Structure: optimized geometry

Geometry as POSCAR:
```
MgBe2Te
1.0
3.179 0.025 0.000
-1.114 2.977 0.000
0.000 0.000 7.750
Be Mg Te
2 1 1
Direct
0.000 0.000 0.994
0.000 0.000 0.506
0.500 0.500 0.250
0.500 0.500 0.750
```

calculated total energy: -2.35 eV/atom
energy relative to the elements, uncorrected: 67.42 kJ/mol of atoms
size of the total moment: 0.000 μB per cell


Entry 3:
Compound: K3Cd2Pt
Source: the Alexandria database
Functional: PBE
Structure: optimized geometry

Geometry as POSCAR:
```
K3Cd2Pt
1.0
6.500 0.000 0.000
0.000 7.788 -1.504
0.000 -0.047 7.932
K Cd Pt
6 4 2
Direct
0.250 0.910 0.090
0.750 0.090 0.910
0.250 0.059 0.586
0.750 0.941 0.414
0.250 0.414 0.941
0.750 0.586 0.059
0.000 0.346 0.346
0.500 0.654 0.654
0.000 0.654 0.654
0.500 0.346 0.346
0.250 0.638 0.362
0.750 0.362 0.638
```

calculated total energy: -1.94 eV/atom
energy of formation: -0.084 eV/atom
size of the total moment: 0.000 μB per cell